# 1
The following is a DFT calculation (PBE-GGA) of a relaxed La2CeBr8 crystal.

Calculated values
- Crystal system: monoclinic
- Formation energy from raw total energies: -1766 meV/atom

a = 8.090 Å, b = 8.090 Å, c = 5.935 Å
α = 98.91°, β = 98.91°, γ = 111.45°
Sites, in units of the cell vectors:
La  0.183  0.817  0.000
La  0.817  0.183  0.000
Ce  0.500  0.500  0.500
Br  0.138  0.138  0.321
Br  0.176  0.432  0.909
Br  0.270  0.730  0.500
Br  0.432  0.176  0.909
Br  0.568  0.824  0.091
Br  0.730  0.270  0.500
Br  0.824  0.568  0.091
Br  0.862  0.862  0.679

---

# 2
The following is a DFT calculation (PBE-GGA) of a relaxed Mn2CoBr crystal.

Calculated values
- Crystal system: cubic
- Formation energy from raw total energies: 975 meV/atom
- Relative energy among the computed polymorphs: 751 meV per atom

a = 5.796 Å, b = 5.796 Å, c = 5.796 Å
α = 90.00°, β = 90.00°, γ = 90.00°
Sites, in units of the cell vectors:
Mn  0.250  0.250  0.250
Mn  0.250  0.250  0.750
Mn  0.250  0.750  0.250
Mn  0.250  0.750  0.750
Mn  0.750  0.250  0.250
Mn  0.750  0.250  0.750
Mn  0.750  0.750  0.250
Mn  0.750  0.750  0.750
Co  0.000  0.000  0.000
Co  0.000  0.500  0.500
Co  0.500  0.000  0.500
Co  0.500  0.500  0.000
Br  0.000  0.000  0.500
Br  0.000  0.500  0.000
Br  0.500  0.000  0.000
Br  0.500  0.500  0.500

---

# 3
The following is a DFT calculation (PBE-GGA) of a relaxed YBiOs3 crystal.

Calculated values
- Crystal system: cubic
- Relative energy among the computed polymorphs: 0 meV per atom
- ΔH_f (0 K): 2012 meV/atom

a = 4.946 Å, b = 4.946 Å, c = 4.946 Å
α = 90.00°, β = 90.00°, γ = 90.00°
Sites, in units of the cell vectors:
Y  0.000  0.000  0.000
Bi  0.500  0.500  0.500
Os  0.000  0.500  0.500
Os  0.500  0.000  0.500
Os  0.500  0.500  0.000

---

# 4
The following is a DFT calculation (PBE-GGA) of a relaxed Mg3In3Rh2Au crystal.

Calculated values
- Crystal system: hexagonal
- ΔH_f (0 K): -398 meV/atom

a = 7.666 Å, b = 7.666 Å, c = 3.286 Å
α = 90.00°, β = 90.00°, γ = 120.00°
Sites, in units of the cell vectors:
Mg  0.000  0.285  0.000
Mg  0.285  0.000  0.000
Mg  0.715  0.715  0.000
In  0.000  0.613  0.500
In  0.387  0.387  0.500
In  0.613  0.000  0.500
Rh  0.333  0.667  0.000
Rh  0.667  0.333  0.000
Au  0.000  0.000  0.500

---

# 5
The following is a DFT calculation (PBE-GGA) of a relaxed Be2FeNi2 crystal.

Calculated values
- Crystal system: tetragonal
- Relative energy among the computed polymorphs: 213 meV per atom
- ΔH_f (0 K): -16 meV/atom

a = 6.371 Å, b = 6.371 Å, c = 2.381 Å
α = 90.00°, β = 90.00°, γ = 90.00°
Sites, in units of the cell vectors:
Be  0.167  0.333  0.000
Be  0.333  0.833  0.000
Be  0.667  0.167  0.000
Be  0.833  0.667  0.000
Fe  0.000  0.000  0.500
Fe  0.500  0.500  0.500
Ni  0.132  0.632  0.500
Ni  0.368  0.132  0.500
Ni  0.632  0.868  0.500
Ni  0.868  0.368  0.500

---

# 6
The following is a DFT calculation (PBE-GGA) of a relaxed Cs3Tb2ZrTe6 crystal.

Calculated values
- Crystal system: monoclinic
- Formation energy from raw total energies: -1221 meV/atom

a = 7.734 Å, b = 7.734 Å, c = 9.307 Å
α = 97.97°, β = 97.97°, γ = 120.00°
Sites, in units of the cell vectors:
Cs  0.000  0.000  0.000
Cs  0.330  0.670  0.000
Cs  0.670  0.330  0.000
Tb  0.166  0.834  0.500
Tb  0.834  0.166  0.500
Zr  0.500  0.500  0.500
Te  0.116  0.437  0.311
Te  0.243  0.243  0.690
Te  0.437  0.116  0.311
Te  0.563  0.884  0.689
Te  0.757  0.757  0.310
Te  0.884  0.563  0.689

---

# 7
The following is a DFT calculation (PBE-GGA) of a relaxed ScCdIBr2 crystal.

Calculated values
- Crystal system: tetragonal
- Formation energy from raw total energies: -946 meV/atom

a = 5.345 Å, b = 5.345 Å, c = 5.826 Å
α = 90.00°, β = 90.00°, γ = 90.00°
Sites, in units of the cell vectors:
Sc  0.000  0.000  0.000
Cd  0.500  0.500  0.500
I  0.000  0.000  0.500
Br  0.000  0.500  0.000
Br  0.500  0.000  0.000

---

# 8
The following is a DFT calculation (PBE-GGA) of a relaxed NaCd2In2Hg7 crystal.

Calculated values
- Crystal system: monoclinic
- ΔH_f (0 K): -45 meV/atom

a = 10.858 Å, b = 10.858 Å, c = 5.485 Å
α = 103.40°, β = 103.40°, γ = 29.27°
Sites, in units of the cell vectors:
Na  0.000  0.000  0.000
Cd  0.250  0.250  0.730
Cd  0.750  0.750  0.264
In  0.334  0.334  0.310
In  0.666  0.666  0.682
Hg  0.083  0.083  0.571
Hg  0.166  0.166  0.152
Hg  0.417  0.417  0.903
Hg  0.500  0.500  0.496
Hg  0.583  0.583  0.090
Hg  0.834  0.834  0.844
Hg  0.917  0.917  0.427

---

# 9
The following is a DFT calculation (PBE-GGA) of a relaxed Rb2Hg2Pd crystal.

Calculated values
- Crystal system: tetragonal
- Relative energy among the computed polymorphs: 0 meV per atom
- ΔH_f (0 K): -177 meV/atom

a = 18.472 Å, b = 18.472 Å, c = 18.472 Å
α = 164.41°, β = 164.41°, γ = 22.12°
Sites, in units of the cell vectors:
Rb  0.057  0.307  0.750
Rb  0.307  0.057  0.250
Rb  0.693  0.943  0.750
Rb  0.943  0.693  0.250
Hg  0.155  0.405  0.750
Hg  0.405  0.155  0.250
Hg  0.595  0.845  0.750
Hg  0.845  0.595  0.250
Pd  0.375  0.625  0.750
Pd  0.625  0.375  0.250

---

# 10
The following is a DFT calculation (PBE-GGA) of a relaxed TlSiNO2 crystal.

Calculated values
- Crystal system: tetragonal
- Formation energy from raw total energies: -752 meV/atom

a = 3.472 Å, b = 3.472 Å, c = 4.335 Å
α = 90.00°, β = 90.00°, γ = 90.00°
Sites, in units of the cell vectors:
Tl  0.000  0.000  0.000
Si  0.500  0.500  0.500
N  0.500  0.500  0.000
O  0.000  0.500  0.500
O  0.500  0.000  0.500

---

# 11
The following is a DFT calculation (PBE-GGA) of a relaxed BaNa2Bi2 crystal.

Calculated values
- Crystal system: tetragonal
- Relative energy among the computed polymorphs: 44 meV per atom
- ΔH_f (0 K): -489 meV/atom

a = 9.484 Å, b = 9.484 Å, c = 3.608 Å
α = 90.00°, β = 90.00°, γ = 90.00°
Sites, in units of the cell vectors:
Ba  0.000  0.000  0.000
Ba  0.500  0.500  0.000
Na  0.114  0.386  0.000
Na  0.386  0.886  0.000
Na  0.614  0.114  0.000
Na  0.886  0.614  0.000
Bi  0.182  0.682  0.500
Bi  0.318  0.182  0.500
Bi  0.682  0.818  0.500
Bi  0.818  0.318  0.500

---

# 12
The following is a DFT calculation (PBE-GGA) of a relaxed PaMn2Os crystal.

Calculated values
- Crystal system: cubic
- ΔH_f (0 K): 109 meV/atom

a = 6.309 Å, b = 6.309 Å, c = 6.309 Å
α = 90.00°, β = 90.00°, γ = 90.00°
Sites, in units of the cell vectors:
Pa  0.000  0.000  0.000
Pa  0.000  0.500  0.500
Pa  0.500  0.000  0.500
Pa  0.500  0.500  0.000
Mn  0.250  0.250  0.250
Mn  0.250  0.250  0.750
Mn  0.250  0.750  0.250
Mn  0.250  0.750  0.750
Mn  0.750  0.250  0.250
Mn  0.750  0.250  0.750
Mn  0.750  0.750  0.250
Mn  0.750  0.750  0.750
Os  0.000  0.000  0.500
Os  0.000  0.500  0.000
Os  0.500  0.000  0.000
Os  0.500  0.500  0.500

---

# 13
The following is a DFT calculation (PBE-GGA) of a relaxed UCdF6 crystal.

Calculated values
- Crystal system: trigonal
- Formation energy from raw total energies: -3072 meV/atom

a = 5.668 Å, b = 5.668 Å, c = 10.838 Å
α = 90.00°, β = 90.00°, γ = 120.00°
Sites, in units of the cell vectors:
U  0.000  0.000  0.000
U  0.000  0.000  0.500
Cd  0.333  0.667  0.250
Cd  0.667  0.333  0.750
F  0.047  0.330  0.121
F  0.047  0.716  0.379
F  0.284  0.330  0.379
F  0.284  0.953  0.121
F  0.330  0.047  0.621
F  0.330  0.284  0.879
F  0.670  0.716  0.121
F  0.670  0.953  0.379
F  0.716  0.047  0.879
F  0.716  0.670  0.621
F  0.953  0.284  0.621
F  0.953  0.670  0.879

---

# 14
The following is a DFT calculation (PBE-GGA) of a relaxed LiEr2Ga3 crystal.

Calculated values
- Crystal system: orthorhombic
- ΔH_f (0 K): -536 meV/atom

a = 8.907 Å, b = 8.480 Å, c = 5.668 Å
α = 75.10°, β = 66.94°, γ = 37.95°
Sites, in units of the cell vectors:
Li  0.168  0.168  0.832
Li  0.832  0.832  0.168
Er  0.247  0.753  0.753
Er  0.250  0.250  0.250
Er  0.750  0.750  0.750
Er  0.753  0.247  0.247
Ga  0.164  0.667  0.333
Ga  0.332  0.332  0.668
Ga  0.333  0.836  0.164
Ga  0.667  0.164  0.836
Ga  0.668  0.668  0.332
Ga  0.836  0.333  0.667

---

# 15
The following is a DFT calculation (PBE-GGA) of a relaxed PrTm3Cd crystal.

Calculated values
- Crystal system: monoclinic
- Relative energy among the computed polymorphs: 163 meV per atom
- ΔH_f (0 K): 62 meV/atom

a = 3.534 Å, b = 10.911 Å, c = 8.538 Å
α = 90.00°, β = 101.82°, γ = 90.00°
Sites, in units of the cell vectors:
Pr  0.016  0.250  0.039
Pr  0.984  0.750  0.961
Tm  0.159  0.509  0.316
Tm  0.159  0.991  0.316
Tm  0.296  0.750  0.592
Tm  0.704  0.250  0.408
Tm  0.841  0.009  0.684
Tm  0.841  0.491  0.684
Cd  0.355  0.250  0.713
Cd  0.645  0.750  0.287

---

# 16
The following is a DFT calculation (PBE-GGA) of a relaxed CdTe2C crystal.

Calculated values
- Crystal system: cubic
- Formation energy from raw total energies: 1511 meV/atom
- Relative energy among the computed polymorphs: 681 meV per atom

a = 7.043 Å, b = 7.043 Å, c = 7.043 Å
α = 90.00°, β = 90.00°, γ = 90.00°
Sites, in units of the cell vectors:
Cd  0.000  0.000  0.000
Cd  0.000  0.500  0.500
Cd  0.500  0.000  0.500
Cd  0.500  0.500  0.000
Te  0.250  0.250  0.250
Te  0.250  0.250  0.750
Te  0.250  0.750  0.250
Te  0.250  0.750  0.750
Te  0.750  0.250  0.250
Te  0.750  0.250  0.750
Te  0.750  0.750  0.250
Te  0.750  0.750  0.750
C  0.000  0.000  0.500
C  0.000  0.500  0.000
C  0.500  0.000  0.000
C  0.500  0.500  0.500

---

# 17
The following is a DFT calculation (PBE-GGA) of a relaxed TbTmTl4 crystal.

Calculated values
- Crystal system: monoclinic
- ΔH_f (0 K): 10 meV/atom

a = 5.024 Å, b = 7.570 Å, c = 5.038 Å
α = 90.00°, β = 94.61°, γ = 90.00°
Sites, in units of the cell vectors:
Tb  0.000  0.000  0.000
Tm  0.500  0.500  0.500
Tl  0.000  0.255  0.500
Tl  0.000  0.745  0.500
Tl  0.500  0.256  0.000
Tl  0.500  0.744  0.000

---

# 18
The following is a DFT calculation (PBE-GGA) of a relaxed SbW2Au crystal.

Calculated values
- Crystal system: orthorhombic
- Formation energy from raw total energies: 694 meV/atom

a = 3.236 Å, b = 4.698 Å, c = 4.746 Å
α = 90.00°, β = 90.00°, γ = 90.00°
Sites, in units of the cell vectors:
Sb  0.000  0.000  0.000
W  0.000  0.500  0.500
W  0.500  0.000  0.500
Au  0.500  0.500  0.000

---

# 19
The following is a DFT calculation (PBE-GGA) of a relaxed CuNi2Ir crystal.

Calculated values
- Crystal system: orthorhombic
- ΔH_f (0 K): 96 meV/atom

a = 2.609 Å, b = 3.624 Å, c = 5.168 Å
α = 90.00°, β = 90.00°, γ = 90.00°
Sites, in units of the cell vectors:
Cu  0.000  0.000  0.000
Ni  0.000  0.000  0.514
Ni  0.500  0.500  0.763
Ir  0.500  0.500  0.271

---

# 20
The following is a DFT calculation (PBE-GGA) of a relaxed Ta3MoI crystal.

Calculated values
- Crystal system: cubic
- Formation energy from raw total energies: 1526 meV/atom
- Relative energy among the computed polymorphs: 0 meV per atom

a = 4.927 Å, b = 4.927 Å, c = 4.927 Å
α = 90.00°, β = 90.00°, γ = 90.00°
Sites, in units of the cell vectors:
Ta  0.000  0.000  0.500
Ta  0.000  0.500  0.000
Ta  0.500  0.000  0.000
Mo  0.000  0.000  0.000
I  0.500  0.500  0.500